Computed, not measured: a relaxed SrMg2Br crystal at the PBE level of DFT.

```
4
Lattice="-0.820 -0.429 -3.670 -2.904 -2.252 0.912 -6.931 6.135 0.831" Properties=species:S:1:pos:R:3 pbc="T T T"
Sr -5.172 1.887 0.935
Mg -2.651 -1.420 0.758
Mg -2.583 0.768 -1.464
Br -8.069 1.910 -0.372
```

E = -2.197 eV per atom
formation energy from raw total energies = -0.561 eV per atom
V = 130 Å³/cell
size of the total moment = 0.00 μB per atom

Computed, not measured: a relaxed SrMgBr2 crystal at the PBE level of DFT.

```
4
Lattice="-1.805 -4.882 -0.094 4.859 -1.812 0.816 -0.670 0.164 4.353" Properties=species:S:1:pos:R:3 pbc="T T T"
Br 0.000 0.000 0.000
Br 1.527 -3.347 0.361
Sr 2.094 -0.824 2.585
Mg -1.238 -2.359 2.129
```

E = -2.706 eV per atom
formation energy from raw total energies = -1.051 eV per atom
V = 120 Å³/cell
size of the total moment = 0.00 μB per atom

Computed, not measured: a relaxed SrMg2Br crystal at the PBE level of DFT.

```
4
Lattice="3.838 0.000 0.000 0.000 3.838 0.000 0.000 0.000 9.561" Properties=species:S:1:pos:R:3 pbc="T T T"
Sr 0.000 0.000 4.811
Br 1.919 1.919 6.445
Mg 1.919 1.919 2.274
Mg 0.000 0.000 0.811
```

E = -2.193 eV per atom
formation energy from raw total energies = -0.557 eV per atom
V = 141 Å³/cell
size of the total moment = 0.00 μB per atom

Computed, not measured: a relaxed SrMgBr crystal at the PBE level of DFT.

```
6
Lattice="-1.302 3.710 1.433 1.520 -2.853 2.659 14.960 6.047 -2.065" Properties=species:S:1:pos:R:3 pbc="T T T"
Mg 0.650 -0.746 2.523
Mg 8.045 2.375 1.161
Br 3.748 0.636 1.758
Br 12.345 4.111 0.572
Sr 9.661 5.595 0.401
Sr 4.549 3.529 1.106
```

E = -2.361 eV per atom
formation energy from raw total energies = -0.711 eV per atom
V = 247 Å³/cell
size of the total moment = 0.00 μB per atom

Computed, not measured: a relaxed SrMgBr2 crystal at the PBE level of DFT.

```
4
Lattice="-5.302 -3.031 0.347 3.977 -4.641 0.252 -0.386 -2.469 4.116" Properties=species:S:1:pos:R:3 pbc="T T T"
Sr 1.795 -3.555 2.184
Br -0.663 -3.836 0.300
Br 0.000 0.000 0.000
Mg -2.844 -2.750 2.232
```

E = -2.681 eV per atom
formation energy from raw total energies = -1.026 eV per atom
V = 144 Å³/cell
size of the total moment = 0.00 μB per atom

Computed, not measured: a relaxed SrMg2Br crystal at the PBE level of DFT.

```
4
Lattice="5.867 0.075 0.010 4.530 3.728 0.010 2.357 0.862 5.931" Properties=species:S:1:pos:R:3 pbc="T T T"
Sr 6.418 2.347 2.417
Br 3.512 1.285 2.157
Mg 12.419 4.542 5.461
Mg 9.536 3.488 4.841
```

E = -2.100 eV per atom
formation energy from raw total energies = -0.464 eV per atom
V = 128 Å³/cell
size of the total moment = 0.00 μB per atom

Computed, not measured: a relaxed SrMgBr crystal at the PBE level of DFT.

```
3
Lattice="4.182 0.000 0.000 -2.091 3.622 0.000 0.000 0.000 7.433" Properties=species:S:1:pos:R:3 pbc="T T T"
Sr 0.000 2.414 5.168
Br 0.000 0.000 7.134
Mg 2.091 1.207 2.564
```

E = -2.357 eV per atom
formation energy from raw total energies = -0.707 eV per atom
V = 113 Å³/cell
size of the total moment = 0.00 μB per atom

Computed, not measured: a relaxed Sr3Mg5Br12 crystal at the PBE level of DFT.

```
80
Lattice="15.481 0.000 0.000 -5.160 14.596 0.000 -5.160 -7.298 12.640" Properties=species:S:1:pos:R:3 pbc="T T T"
Br 8.443 -1.172 2.962
Br 5.640 2.160 11.390
Br 10.164 -3.196 8.036
Br -0.480 5.138 1.250
Br 2.100 -2.160 11.390
Br 3.060 9.458 1.250
Br 7.584 12.883 0.466
Br 1.241 0.948 7.566
Br -5.004 10.494 4.604
Br 5.863 6.126 9.678
Br 2.424 -2.389 7.570
Br -3.283 8.470 9.678
Br 11.660 3.377 3.358
Br -0.480 9.461 1.246
Br 5.640 -2.163 11.395
Br -2.100 0.003 10.144
Br 7.038 7.796 6.786
Br -5.640 -0.003 10.144
Br 10.801 7.301 2.496
Br -5.317 5.585 12.174
Br 6.499 -0.948 7.566
Br -4.458 6.800 6.786
Br 0.703 8.968 8.816
Br 4.458 -1.670 3.824
Br 6.402 2.429 1.716
Br -0.156 4.909 5.070
Br -1.339 8.246 5.075
Br -1.241 4.869 10.924
Br 2.100 2.163 11.395
Br -0.703 1.172 2.962
Br 7.260 7.295 2.496
Br 3.283 1.670 3.824
Br 3.060 5.135 1.246
Br 8.982 -4.869 10.924
Br 10.477 1.713 0.466
Br 3.919 6.350 5.075
Br -2.424 -5.585 12.174
Br -3.821 12.167 1.716
Br 1.878 5.628 8.816
Br -2.424 3.196 8.036
Br 5.317 2.389 7.570
Br -1.241 -3.921 9.282
Br 2.736 9.687 5.070
Br 7.584 4.102 4.604
Br 9.618 0.498 5.854
Br -6.499 3.921 9.282
Br -1.878 -0.498 5.854
Br 6.402 11.219 3.358
Sr 3.870 8.210 7.900
Sr 3.870 0.000 9.480
Sr -6.450 7.298 9.480
Sr 9.031 10.034 1.580
Sr 9.031 4.561 1.580
Sr -3.870 2.737 11.060
Sr 11.611 0.000 3.160
Sr 6.450 0.912 4.740
Sr 1.290 -0.912 4.740
Sr -1.290 6.386 7.900
Sr 1.290 7.298 3.160
Sr -3.870 -2.737 11.060
Mg -3.870 8.210 4.740
Mg 6.450 3.649 9.480
Mg 6.450 -4.561 11.060
Mg 1.290 -3.649 9.480
Mg 0.000 0.000 0.000
Mg -5.160 3.649 6.320
Mg -2.580 7.298 0.000
Mg 3.870 10.947 3.160
Mg 3.870 2.737 1.580
Mg 6.450 6.386 4.740
Mg 1.290 4.561 11.060
Mg -2.580 -3.649 6.320
Mg 2.580 3.649 6.320
Mg -1.290 0.912 7.900
Mg 9.031 -0.912 7.900
Mg -1.290 11.859 1.580
Mg -1.290 3.649 3.160
Mg 7.740 0.000 0.000
Mg 5.160 -3.649 6.320
Mg 5.160 7.298 0.000
```

E = -2.980 eV per atom
formation energy from raw total energies = -1.326 eV per atom
V = 2856 Å³/cell
size of the total moment = 0.00 μB per atom